No. 1
First-principles (PBE) data for a geometry-optimized CaNbP2O8 structure, as listed in the Alexandria database.

abc: 5.2497 5.2497 6.7332
angles: 90.00 90.00 120.00
Fractional coordinates of all 12 atoms:
O (0.6539, 0.8270, 0.6948)
O (0.8270, 0.1731, 0.3052)
O (0.8269, 0.6539, 0.3052)
P (0.3333, 0.6667, 0.7775)
O (0.3461, 0.1730, 0.3052)
Nb (0.0000, 0.0000, 0.5000)
O (0.1731, 0.3461, 0.6948)
O (0.6667, 0.3333, 0.9988)
O (0.3333, 0.6667, 0.0012)
Ca (0.0000, 0.0000, 0.0000)
O (0.1730, 0.8269, 0.6948)
P (0.6667, 0.3333, 0.2225)

Results
Symmetry ... P-3m1, No. 164
E_tot ... -91.93 eV for the cell shown
Energy relative to the elements, uncorrected ... -2.448 eV per atom



No. 2
First-principles (PBE) data for a geometry-optimized CaPaNb2O8 structure, as listed in the Alexandria database.

abc: 5.2905 5.2905 6.7447
angles: 113.09 113.09 90.00
Fractional coordinates of all 12 atoms:
Ca (0.7500, 0.2500, 0.5000)
Nb (0.5000, 0.5000, 0.0000)
O (0.3338, 0.9023, 0.3150)
O (0.3950, 0.3284, 0.1689)
Pa (0.0000, 0.0000, 0.0000)
O (0.0977, 0.0188, 0.6850)
O (0.7739, 0.8405, 0.1689)
O (0.6716, 0.2261, 0.8311)
Nb (0.2500, 0.7500, 0.5000)
O (0.9812, 0.4127, 0.3150)
O (0.1595, 0.6050, 0.8311)
O (0.5873, 0.6662, 0.6850)

Results
Symmetry ... I-4, No. 82
E_tot ... -106.68 eV for the cell shown
Energy relative to the elements, uncorrected ... -2.948 eV per atom



No. 3
First-principles (PBE) data for a geometry-optimized Ca2NbPbO6 structure, as listed in the Alexandria database.

abc: 5.7776 5.7772 6.0628
angles: 61.54 61.53 60.00
Fractional coordinates of all 10 atoms:
O (0.5709, 0.2153, 0.2359)
O (0.6766, 0.1289, 0.7716)
O (0.9779, 0.5711, 0.2358)
O (0.1290, 0.4228, 0.7717)
O (0.4229, 0.6765, 0.7716)
Nb (0.3141, 0.3140, 0.0578)
Ca (0.0241, 0.0241, 0.9275)
O (0.2149, 0.9779, 0.2362)
Ca (0.5291, 0.5290, 0.4130)
Pb (0.8021, 0.8019, 0.5940)

Results
Symmetry ... R3, No. 146
E_tot ... -71.28 eV for the cell shown
Energy relative to the elements, uncorrected ... -2.375 eV per atom



No. 4
First-principles (PBE) data for a geometry-optimized CaNbPb2O8 structure, as listed in the Alexandria database.

abc: 5.0403 5.0372 6.8186
angles: 90.00 90.00 88.72
Fractional coordinates of all 12 atoms:
O (0.2914, 0.2906, 0.0000)
Pb (0.5000, 0.5000, 0.7504)
O (0.1903, 0.8086, 0.7857)
O (0.1903, 0.8086, 0.2143)
Ca (0.0000, 0.0000, 0.5000)
O (0.8097, 0.1914, 0.7857)
O (0.6861, 0.6884, 0.5000)
O (0.8097, 0.1914, 0.2143)
Nb (0.0000, 0.0000, 0.0000)
Pb (0.5000, 0.5000, 0.2496)
O (0.7086, 0.7094, 0.0000)
O (0.3139, 0.3116, 0.5000)

Results
Symmetry ... P2/m, No. 10
E_tot ... -78.23 eV for the cell shown
Energy relative to the elements, uncorrected ... -1.590 eV per atom



No. 5
First-principles (PBE) data for a geometry-optimized CaPmNb2O8 structure, as listed in the Alexandria database.

abc: 5.3568 5.3568 6.8210
angles: 113.12 113.12 90.00
Fractional coordinates of all 12 atoms:
Nb (0.5000, 0.5000, 0.0000)
O (0.4158, 0.3447, 0.1781)
Pm (0.0000, 0.0000, 0.0000)
Ca (0.7500, 0.2500, 0.5000)
O (0.0974, 0.0108, 0.6821)
O (0.3286, 0.9026, 0.3179)
Nb (0.2500, 0.7500, 0.5000)
O (0.6553, 0.2376, 0.8219)
O (0.9892, 0.4153, 0.3179)
O (0.7624, 0.8335, 0.1781)
O (0.5847, 0.6714, 0.6821)
O (0.1665, 0.5842, 0.8219)

Results
Symmetry ... I-4, No. 82
E_tot ... -99.70 eV for the cell shown
Energy relative to the elements, uncorrected ... -2.762 eV per atom



No. 6
First-principles (PBE) data for a geometry-optimized Ca2PrNbO6 structure, as listed in the Alexandria database.

abc: 5.8040 5.8040 6.0446
angles: 61.31 61.31 60.00
Fractional coordinates of all 10 atoms:
O (0.4201, 0.6750, 0.7740)
O (0.5735, 0.2052, 0.2413)
O (0.6751, 0.1308, 0.7740)
O (0.2052, 0.9800, 0.2413)
Ca (0.5296, 0.5296, 0.4113)
Pr (0.8045, 0.8045, 0.5866)
O (0.1308, 0.4201, 0.7741)
O (0.9800, 0.5736, 0.2413)
Nb (0.3152, 0.3152, 0.0543)
Ca (0.0277, 0.0277, 0.9169)

Results
Symmetry ... R3, No. 146
E_tot ... -78.44 eV for the cell shown
Energy relative to the elements, uncorrected ... -2.984 eV per atom